## KCoNi3 (PBE)

Data for a geometry-optimized KCoNi3 structure.

total moment	2.7	μB/f.u.
formation energy	2.333	eV per atom

a = 4.4300 Å, b = 4.4300 Å, c = 4.4300 Å
α = 90.00°, β = 90.00°, γ = 90.00°
Positions (direct):
1 Ni 0.0000 0.5000 0.0000
2 Ni 0.0000 0.0000 0.5000
3 Ni 0.5000 0.0000 0.0000
4 K 0.0000 0.0000 0.0000
5 Co 0.5000 0.5000 0.5000



## SbIr (PBE)

Data for a geometry-optimized SbIr structure.

total moment	0.0	μB/f.u.
energy relative to the elements, uncorrected	0.232	eV/atom

a = 3.7277 Å, b = 3.7277 Å, c = 6.7290 Å
α = 90.00°, β = 90.00°, γ = 120.00°
Positions (direct):
1 Ir 0.3333 0.6667 0.2500
2 Ir 0.6667 0.3333 0.7500
3 Sb 0.0000 0.0000 0.0000
4 Sb 0.0000 0.0000 0.5000



## Cu3NiSb (PBE)

Data for a geometry-optimized Cu3NiSb structure.

total moment	0.0	μB/f.u.
energy relative to the elements, uncorrected	0.653	eV/atom

a = 4.4183 Å, b = 4.4183 Å, c = 4.4183 Å
α = 90.00°, β = 90.00°, γ = 90.00°
Positions (direct):
1 Sb 0.5000 0.5000 0.5000
2 Cu 0.0000 0.5000 0.0000
3 Cu 0.0000 0.0000 0.5000
4 Cu 0.5000 0.0000 0.0000
5 Ni 0.0000 0.0000 0.0000



## CrCdMo2 (PBE)

Data for a geometry-optimized CrCdMo2 structure.

total moment	0.0	μB/f.u.
formation energy	0.311	eV per atom

a = 2.7301 Å, b = 2.7301 Å, c = 9.0868 Å
α = 90.00°, β = 90.00°, γ = 109.33°
Positions (direct):
1 Cd 0.0000 0.0000 0.5105
2 Cr 0.5000 0.5000 0.7706
3 Mo 0.0000 0.0000 0.9874
4 Mo 0.5000 0.5000 0.2315